# 1
Below is an optimized crystal structure of BiBTe3, with properties calculated at the PBE-GGA level.

a b c (Å): 5.9364 5.9364 5.9364
angles (deg): 90.00 90.00 90.00
Atoms (fractional coordinates):
Te 0.5000 0.0000 0.0000
Te 0.0000 0.5000 0.0000
Te 0.0000 0.0000 0.5000
B 0.5000 0.5000 0.5000
Bi 0.0000 0.0000 0.0000

## Properties
Uncorrected formation energy = 1.466 eV per atom
V = 209.20 Å³/cell
Electronic total energy = -0.093 Ha/atom
Space-group type = Pm-3m, No. 221
N(E_F) = 5.445 states/eV per cell
Theoretical density = 4.78 g/cm3

---

# 2
Below is an optimized crystal structure of BaLaCdAu, with properties calculated at the PBE-GGA level.

a b c (Å): 5.6295 5.6295 5.6295
angles (deg): 60.00 60.00 60.00
Atoms (fractional coordinates):
La 0.5000 0.5000 0.5000
Cd 0.7500 0.7500 0.7500
Ba 0.0000 0.0000 0.0000
Au 0.2500 0.2500 0.2500

## Properties
V = 126.15 Å³/cell
Electronic total energy = -0.117 Ha/atom
Space-group type = F-43m, No. 216
N(E_F) = 3.494 states/eV per cell
ΔE_f = -420.5 meV per atom
Theoretical density = 7.71 g/cm3

---

# 3
Below is an optimized crystal structure of Ho2MgTl3Te6, with properties calculated at the PBE-GGA level.

a b c (Å): 7.6411 7.6411 8.3711
angles (deg): 98.73 98.73 120.04
Atoms (fractional coordinates):
Ho 0.6657 0.3343 0.0000
Ho 0.3343 0.6657 0.0000
Te 0.3977 0.0697 0.2113
Te 0.7436 0.7436 0.2131
Te 0.2564 0.2564 0.7869
Te 0.6023 0.9303 0.7887
Te 0.0697 0.3977 0.2113
Te 0.9303 0.6023 0.7887
Tl 0.1706 0.8294 0.5000
Tl 0.5000 0.5000 0.5000
Tl 0.8294 0.1706 0.5000
Mg 0.0000 0.0000 0.0000

## Properties
Uncorrected formation energy = -0.847 eV per atom
V = 403.13 Å³/cell
Electronic total energy = -0.144 Ha/atom
Space-group type = C2/m, No. 12
N(E_F) = 5.661 states/eV per cell
Theoretical density = 7.14 g/cm3